VASP calculation (PBE) on a relaxed NdInGa2Pd5 crystal.

Lattice parameters (Å, degrees): 4.238 4.238 9.303 90.00 90.00 90.00
Element x y z (fractional)
Nd 0.000 0.000 0.000
In 0.000 0.000 0.500
Ga 0.500 0.500 0.368
Ga 0.500 0.500 0.632
Pd 0.000 0.500 0.228
Pd 0.000 0.500 0.772
Pd 0.500 0.000 0.228
Pd 0.500 0.000 0.772
Pd 0.500 0.500 0.000

Calculated values
Energy relative to the elements, eV per atom: -0.548
Space-group type: P4/mmm (123)



VASP calculation (PBE) on a relaxed NdInGaPd crystal.

Lattice parameters (Å, degrees): 7.009 7.009 7.009 90.00 90.00 90.00
Element x y z (fractional)
Nd 0.000 0.000 0.000
Nd 0.000 0.500 0.500
Nd 0.500 0.000 0.500
Nd 0.500 0.500 0.000
In 0.000 0.000 0.500
In 0.000 0.500 0.000
In 0.500 0.000 0.000
In 0.500 0.500 0.500
Ga 0.250 0.250 0.750
Ga 0.250 0.750 0.250
Ga 0.750 0.250 0.250
Ga 0.750 0.750 0.750
Pd 0.250 0.250 0.250
Pd 0.250 0.750 0.750
Pd 0.750 0.250 0.750
Pd 0.750 0.750 0.250

Calculated values
Energy relative to the elements, eV per atom: -0.589
Space-group type: F-43m (216)



VASP calculation (PBE) on a relaxed NdInGa2Pd2 crystal.

Lattice parameters (Å, degrees): 4.442 4.442 6.982 90.00 90.00 120.00
Element x y z (fractional)
Nd 0.000 0.000 0.000
In 0.000 0.000 0.500
Ga 0.333 0.667 0.743
Ga 0.667 0.333 0.257
Pd 0.333 0.667 0.330
Pd 0.667 0.333 0.670

Calculated values
Energy relative to the elements, eV per atom: -0.661
Space-group type: P-3m1 (164)



VASP calculation (PBE) on a relaxed NdInGaPd3 crystal.

Lattice parameters (Å, degrees): 7.253 7.253 6.290 90.00 90.00 132.84
Element x y z (fractional)
Nd 0.178 0.822 0.750
Nd 0.822 0.178 0.250
In 0.146 0.854 0.250
In 0.854 0.146 0.750
Ga 0.407 0.593 0.750
Ga 0.593 0.407 0.250
Pd 0.241 0.241 0.000
Pd 0.241 0.241 0.500
Pd 0.349 0.651 0.250
Pd 0.651 0.349 0.750
Pd 0.759 0.759 0.000
Pd 0.759 0.759 0.500

Calculated values
Energy relative to the elements, eV per atom: -0.546
Space-group type: Cmcm (63)



VASP calculation (PBE) on a relaxed Pm3Nd3In2Ga crystal.

Lattice parameters (Å, degrees): 9.062 9.062 3.823 90.00 90.00 120.00
Element x y z (fractional)
Pm 0.000 0.730 0.000
Pm 0.270 0.270 0.000
Pm 0.730 0.000 0.000
Nd 0.000 0.389 0.500
Nd 0.389 0.000 0.500
Nd 0.611 0.611 0.500
In 0.333 0.667 0.000
In 0.667 0.333 0.000
Ga 0.000 0.000 0.500

Calculated values
Energy relative to the elements, eV per atom: -0.351
Space-group type: P-62m (189)



VASP calculation (PBE) on a relaxed Pr3Nd3In2Ga crystal.

Lattice parameters (Å, degrees): 9.133 9.133 3.847 90.00 90.00 120.00
Element x y z (fractional)
Pr 0.000 0.729 0.000
Pr 0.271 0.271 0.000
Pr 0.729 0.000 0.000
Nd 0.000 0.389 0.500
Nd 0.389 0.000 0.500
Nd 0.611 0.611 0.500
In 0.333 0.667 0.000
In 0.667 0.333 0.000
Ga 0.000 0.000 0.500

Calculated values
Energy relative to the elements, eV per atom: -0.343
Space-group type: P-62m (189)



VASP calculation (PBE) on a relaxed Pr2Nd2InGa4 crystal.

Lattice parameters (Å, degrees): 6.958 6.958 6.958 117.13 117.13 95.06
Element x y z (fractional)
Pr 0.250 0.750 0.500
Pr 0.750 0.250 0.500
Nd 0.185 0.185 0.000
Nd 0.815 0.815 0.000
In 0.500 0.500 0.000
Ga 0.243 0.243 0.487
Ga 0.243 0.757 0.000
Ga 0.757 0.243 0.000
Ga 0.757 0.757 0.513

Calculated values
Energy relative to the elements, eV per atom: -0.215
Space-group type: I4/mmm (139)



VASP calculation (PBE) on a relaxed NdInGa2Pt5 crystal.

Lattice parameters (Å, degrees): 4.213 4.213 9.492 90.00 90.00 90.00
Element x y z (fractional)
Nd 0.000 0.000 0.000
In 0.000 0.000 0.500
Ga 0.500 0.500 0.370
Ga 0.500 0.500 0.630
Pt 0.000 0.500 0.226
Pt 0.000 0.500 0.774
Pt 0.500 0.000 0.226
Pt 0.500 0.000 0.774
Pt 0.500 0.500 0.000

Calculated values
Energy relative to the elements, eV per atom: -0.583
Space-group type: P4/mmm (123)



VASP calculation (PBE) on a relaxed NdInGaPt crystal.

Lattice parameters (Å, degrees): 7.012 7.012 7.012 90.00 90.00 90.00
Element x y z (fractional)
Nd 0.000 0.000 0.000
Nd 0.000 0.500 0.500
Nd 0.500 0.000 0.500
Nd 0.500 0.500 0.000
In 0.000 0.000 0.500
In 0.000 0.500 0.000
In 0.500 0.000 0.000
In 0.500 0.500 0.500
Ga 0.250 0.250 0.250
Ga 0.250 0.750 0.750
Ga 0.750 0.250 0.750
Ga 0.750 0.750 0.250
Pt 0.250 0.250 0.750
Pt 0.250 0.750 0.250
Pt 0.750 0.250 0.250
Pt 0.750 0.750 0.750

Calculated values
Energy relative to the elements, eV per atom: -0.645
Space-group type: F-43m (216)



VASP calculation (PBE) on a relaxed Nd2InGa4Pt3 crystal.

Lattice parameters (Å, degrees): 4.323 4.323 10.806 90.00 90.00 90.00
Element x y z (fractional)
Nd 0.000 0.500 0.237
Nd 0.500 0.000 0.763
In 0.000 0.000 0.500
Ga 0.000 0.000 0.000
Ga 0.000 0.500 0.648
Ga 0.500 0.000 0.352
Ga 0.500 0.500 0.000
Pt 0.000 0.500 0.875
Pt 0.500 0.000 0.125
Pt 0.500 0.500 0.500

Calculated values
Energy relative to the elements, eV per atom: -0.847
Space-group type: P-4m2 (115)



VASP calculation (PBE) on a relaxed NdInGaPt3 crystal.

Lattice parameters (Å, degrees): 8.908 8.908 5.689 90.00 90.00 142.31
Element x y z (fractional)
Nd 0.205 0.795 0.750
Nd 0.795 0.205 0.250
In 0.395 0.605 0.250
In 0.605 0.395 0.750
Ga 0.091 0.909 0.250
Ga 0.909 0.091 0.750
Pt 0.237 0.763 0.250
Pt 0.248 0.248 0.000
Pt 0.248 0.248 0.500
Pt 0.752 0.752 0.000
Pt 0.752 0.752 0.500
Pt 0.763 0.237 0.750

Calculated values
Energy relative to the elements, eV per atom: -0.637
Space-group type: Cmcm (63)



VASP calculation (PBE) on a relaxed NdSmInGa crystal.

Lattice parameters (Å, degrees): 3.738 3.738 7.652 90.00 90.00 90.00
Element x y z (fractional)
Nd 0.000 0.000 0.000
Sm 0.000 0.000 0.473
In 0.500 0.500 0.732
Ga 0.500 0.500 0.241

Calculated values
Energy relative to the elements, eV per atom: -0.524
Excess energy over the best structure of this formula in the dataset, meV/atom: 0
Space-group type: P4mm (99)



VASP calculation (PBE) on a relaxed NdSmInGa crystal.

Lattice parameters (Å, degrees): 7.538 7.538 7.538 90.00 90.00 90.00
Element x y z (fractional)
Nd 0.000 0.000 0.000
Nd 0.000 0.500 0.500
Nd 0.500 0.000 0.500
Nd 0.500 0.500 0.000
Sm 0.000 0.000 0.500
Sm 0.000 0.500 0.000
Sm 0.500 0.000 0.000
Sm 0.500 0.500 0.500
In 0.250 0.250 0.250
In 0.250 0.750 0.750
In 0.750 0.250 0.750
In 0.750 0.750 0.250
Ga 0.250 0.250 0.750
Ga 0.250 0.750 0.250
Ga 0.750 0.250 0.250
Ga 0.750 0.750 0.750

Calculated values
Energy relative to the elements, eV per atom: -0.504
Excess energy over the best structure of this formula in the dataset, meV/atom: 20
Space-group type: F-43m (216)



VASP calculation (PBE) on a relaxed SrNdInGa crystal.

Lattice parameters (Å, degrees): 7.767 7.767 7.767 90.00 90.00 90.00
Element x y z (fractional)
Sr 0.000 0.000 0.000
Sr 0.000 0.500 0.500
Sr 0.500 0.000 0.500
Sr 0.500 0.500 0.000
Nd 0.000 0.000 0.500
Nd 0.000 0.500 0.000
Nd 0.500 0.000 0.000
Nd 0.500 0.500 0.500
In 0.250 0.250 0.250
In 0.250 0.750 0.750
In 0.750 0.250 0.750
In 0.750 0.750 0.250
Ga 0.250 0.250 0.750
Ga 0.250 0.750 0.250
Ga 0.750 0.250 0.250
Ga 0.750 0.750 0.750

Calculated values
Energy relative to the elements, eV per atom: -0.389
Space-group type: F-43m (216)



VASP calculation (PBE) on a relaxed Tb2Nd2InGa4 crystal.

Lattice parameters (Å, degrees): 6.850 6.850 6.850 116.97 116.97 95.34
Element x y z (fractional)
Tb 0.184 0.184 0.000
Tb 0.816 0.816 0.000
Nd 0.250 0.750 0.500
Nd 0.750 0.250 0.500
In 0.500 0.500 0.000
Ga 0.239 0.239 0.479
Ga 0.239 0.761 0.000
Ga 0.761 0.239 0.000
Ga 0.761 0.761 0.521

Calculated values
Energy relative to the elements, eV per atom: -0.221
Space-group type: I4/mmm (139)



VASP calculation (PBE) on a relaxed NdTmInGa crystal.

Lattice parameters (Å, degrees): 3.672 3.672 7.547 90.00 90.00 90.00
Element x y z (fractional)
Nd 0.000 0.000 0.000
Tm 0.000 0.000 0.472
In 0.500 0.500 0.720
Ga 0.500 0.500 0.254

Calculated values
Energy relative to the elements, eV per atom: -0.511
Excess energy over the best structure of this formula in the dataset, meV/atom: 0
Space-group type: P4mm (99)



VASP calculation (PBE) on a relaxed NdTmInGa crystal.

Lattice parameters (Å, degrees): 7.425 7.425 7.425 90.00 90.00 90.00
Element x y z (fractional)
Nd 0.000 0.000 0.000
Nd 0.000 0.500 0.500
Nd 0.500 0.000 0.500
Nd 0.500 0.500 0.000
Tm 0.000 0.000 0.500
Tm 0.000 0.500 0.000
Tm 0.500 0.000 0.000
Tm 0.500 0.500 0.500
In 0.250 0.250 0.750
In 0.250 0.750 0.250
In 0.750 0.250 0.250
In 0.750 0.750 0.750
Ga 0.250 0.250 0.250
Ga 0.250 0.750 0.750
Ga 0.750 0.250 0.750
Ga 0.750 0.750 0.250

Calculated values
Energy relative to the elements, eV per atom: -0.483
Excess energy over the best structure of this formula in the dataset, meV/atom: 28
Space-group type: F-43m (216)



VASP calculation (PBE) on a relaxed NdYInGa crystal.

Lattice parameters (Å, degrees): 7.476 7.476 7.476 90.00 90.00 90.00
Element x y z (fractional)
Nd 0.000 0.000 0.000
Nd 0.000 0.500 0.500
Nd 0.500 0.000 0.500
Nd 0.500 0.500 0.000
Y 0.000 0.000 0.500
Y 0.000 0.500 0.000
Y 0.500 0.000 0.000
Y 0.500 0.500 0.500
In 0.250 0.250 0.250
In 0.250 0.750 0.750
In 0.750 0.250 0.750
In 0.750 0.750 0.250
Ga 0.250 0.250 0.750
Ga 0.250 0.750 0.250
Ga 0.750 0.250 0.250
Ga 0.750 0.750 0.750

Calculated values
Energy relative to the elements, eV per atom: -0.514
Excess energy over the best structure of this formula in the dataset, meV/atom: 24
Space-group type: F-43m (216)



VASP calculation (PBE) on a relaxed NdYInGa crystal.

Lattice parameters (Å, degrees): 3.701 3.701 7.588 90.00 90.00 90.00
Element x y z (fractional)
Nd 0.000 0.000 0.000
Y 0.000 0.000 0.473
In 0.500 0.500 0.725
Ga 0.500 0.500 0.249

Calculated values
Energy relative to the elements, eV per atom: -0.537
Excess energy over the best structure of this formula in the dataset, meV/atom: 0
Space-group type: P4mm (99)



VASP calculation (PBE) on a relaxed Nd2Zn3InGa4 crystal.

Lattice parameters (Å, degrees): 4.284 4.284 11.012 90.00 90.00 90.00
Element x y z (fractional)
Nd 0.000 0.500 0.242
Nd 0.500 0.000 0.758
Zn 0.000 0.500 0.871
Zn 0.500 0.000 0.129
Zn 0.500 0.500 0.500
In 0.000 0.000 0.500
Ga 0.000 0.000 0.000
Ga 0.000 0.500 0.650
Ga 0.500 0.000 0.350
Ga 0.500 0.500 0.000

Calculated values
Energy relative to the elements, eV per atom: -0.440
Space-group type: P-4m2 (115)



VASP calculation (PBE) on a relaxed NdZnInGa crystal.

Lattice parameters (Å, degrees): 7.111 7.111 7.111 90.00 90.00 90.00
Element x y z (fractional)
Nd 0.000 0.000 0.000
Nd 0.000 0.500 0.500
Nd 0.500 0.000 0.500
Nd 0.500 0.500 0.000
Zn 0.250 0.250 0.250
Zn 0.250 0.750 0.750
Zn 0.750 0.250 0.750
Zn 0.750 0.750 0.250
In 0.000 0.000 0.500
In 0.000 0.500 0.000
In 0.500 0.000 0.000
In 0.500 0.500 0.500
Ga 0.250 0.250 0.750
Ga 0.250 0.750 0.250
Ga 0.750 0.250 0.250
Ga 0.750 0.750 0.750

Calculated values
Energy relative to the elements, eV per atom: -0.268
Space-group type: F-43m (216)



VASP calculation (PBE) on a relaxed InGa3Ni crystal.

Lattice parameters (Å, degrees): 5.188 5.188 5.188 90.00 90.00 90.00
Element x y z (fractional)
In 0.000 0.000 0.000
Ga 0.000 0.000 0.500
Ga 0.000 0.500 0.000
Ga 0.500 0.000 0.000
Ni 0.500 0.500 0.500

Calculated values
Energy relative to the elements, eV per atom: 1.025
Excess energy over the best structure of this formula in the dataset, meV/atom: 1088
Space-group type: Pm-3m (221)



VASP calculation (PBE) on a relaxed InGa4Ni15 crystal.

Lattice parameters (Å, degrees): 3.619 3.619 18.052 90.00 90.00 90.00
Element x y z (fractional)
In 0.000 0.000 0.000
Ga 0.000 0.000 0.206
Ga 0.000 0.000 0.402
Ga 0.000 0.000 0.598
Ga 0.000 0.000 0.794
Ni 0.000 0.500 0.109
Ni 0.000 0.500 0.304
Ni 0.000 0.500 0.500
Ni 0.000 0.500 0.696
Ni 0.000 0.500 0.891
Ni 0.500 0.000 0.109
Ni 0.500 0.000 0.304
Ni 0.500 0.000 0.500
Ni 0.500 0.000 0.696
Ni 0.500 0.000 0.891
Ni 0.500 0.500 0.000
Ni 0.500 0.500 0.206
Ni 0.500 0.500 0.402
Ni 0.500 0.500 0.598
Ni 0.500 0.500 0.794

Calculated values
Energy relative to the elements, eV per atom: -0.235
Space-group type: P4/mmm (123)



VASP calculation (PBE) on a relaxed InGaNi5 crystal.

Lattice parameters (Å, degrees): 3.773 3.773 6.583 90.00 90.00 90.00
Element x y z (fractional)
In 0.000 0.000 0.000
Ga 0.500 0.500 0.500
Ni 0.000 0.500 0.279
Ni 0.000 0.500 0.721
Ni 0.500 0.000 0.279
Ni 0.500 0.000 0.721
Ni 0.500 0.500 0.000

Calculated values
Energy relative to the elements, eV per atom: -0.033
Space-group type: P4/mmm (123)



VASP calculation (PBE) on a relaxed InGaNi2 crystal.

Lattice parameters (Å, degrees): 4.282 4.282 3.083 90.00 90.00 90.00
Element x y z (fractional)
In 0.000 0.000 0.000
Ga 0.500 0.500 0.000
Ni 0.000 0.500 0.500
Ni 0.500 0.000 0.500

Calculated values
Energy relative to the elements, eV per atom: -0.166
Space-group type: P4/mmm (123)



VASP calculation (PBE) on a relaxed InGa2Ni crystal.

Lattice parameters (Å, degrees): 3.072 3.072 26.957 90.00 90.00 120.00
Element x y z (fractional)
In 0.000 0.000 0.000
In 0.333 0.667 0.667
In 0.667 0.333 0.333
Ga 0.000 0.000 0.103
Ga 0.000 0.000 0.897
Ga 0.333 0.667 0.564
Ga 0.333 0.667 0.770
Ga 0.667 0.333 0.230
Ga 0.667 0.333 0.436
Ni 0.000 0.000 0.500
Ni 0.333 0.667 0.167
Ni 0.667 0.333 0.833

Calculated values
Energy relative to the elements, eV per atom: -0.064
Space-group type: R-3m (166)



Values for volume, Å³ per cell, ordered as above
167.12 344.37 119.30 242.64 271.86 277.87 247.48 168.49 344.76 201.95 276.02 106.93 428.27 468.62 236.61 101.78 409.35 417.88 103.95 202.14 359.61 139.62 236.37 93.73 56.53 220.36